A relaxed structure of NdSm2Ho4Tm, computed with GGA-PBE.

Output
calculated formation energy: 426 meV/atom
Fermi-level density of states: 36.671 states/eV per cell

abc: 9.4988 9.4988 11.7859
angles: 128.34 128.35 88.51
Last column: nearest neighbours and their distance in Å.
Positions (direct):
Ho1 0.7503 0.7505 0.5046  3 Sm 3.31-3.45, 1 Nd 3.32, 2 Tm 3.36, 2 Ho 3.40
Ho2 0.7451 0.2542 0.4995  1 Tm 3.25, 3 Sm 3.37-3.40, 2 Ho 3.39-3.40, 2 Nd 3.40-3.41
Sm1 0.5000 0.5000 0.0000  6 Ho 3.37-3.45, 2 Sm 3.40
Ho3 0.2549 0.7458 0.5005  1 Tm 3.25, 3 Sm 3.37-3.40, 2 Ho 3.39-3.40, 2 Nd 3.40-3.41
Ho4 0.7495 0.7497 0.9954  3 Sm 3.31-3.45, 1 Nd 3.32, 2 Tm 3.36, 2 Ho 3.40
Nd1 0.0000 0.5000 0.5000  6 Ho 3.32-3.41, 2 Sm 3.40
Ho5 0.7542 0.2451 0.9995  1 Tm 3.25, 3 Sm 3.37-3.40, 2 Ho 3.39-3.40, 2 Nd 3.40-3.41
Sm2 0.5000 0.0000 0.0000  6 Ho 3.31-3.40, 2 Nd 3.40
Ho6 0.2458 0.7549 0.0005  1 Tm 3.25, 3 Sm 3.37-3.40, 2 Ho 3.39-3.40, 2 Nd 3.40-3.41
Ho7 0.2497 0.2495 0.4954  3 Sm 3.31-3.45, 1 Nd 3.32, 2 Tm 3.36, 2 Ho 3.40
Tm1 0.0000 0.0000 0.0000  6 Ho 3.25-3.36, 2 Tm 3.40
Sm3 0.0000 0.0000 0.5000  6 Ho 3.37-3.45, 2 Sm 3.40
Ho8 0.2505 0.2503 0.0046  3 Sm 3.31-3.45, 1 Nd 3.32, 2 Tm 3.36, 2 Ho 3.40
Sm4 0.5000 0.0000 0.5000  6 Ho 3.31-3.40, 2 Nd 3.40
Tm2 0.5000 0.5000 0.5000  6 Ho 3.25-3.36, 2 Tm 3.40
Nd2 0.0000 0.5000 0.0000  6 Ho 3.32-3.41, 2 Sm 3.40

A relaxed structure of NdSm2HoTm4, computed with GGA-PBE.

Output
calculated formation energy: 431 meV/atom
Fermi-level density of states: 36.489 states/eV per cell

abc: 9.4743 9.4743 11.7510
angles: 128.32 128.33 88.57
Last column: nearest neighbours and their distance in Å.
Positions (direct):
Tm1 0.7507 0.7508 0.5036  3 Sm 3.31-3.42, 1 Nd 3.31, 2 Ho 3.36, 2 Tm 3.39
Tm2 0.2531 0.7476 0.5002  1 Ho 3.27, 3 Sm 3.34-3.39, 2 Tm 3.38-3.39, 2 Nd 3.39
Nd1 0.0000 0.5000 0.0000  6 Tm 3.31-3.39, 2 Sm 3.39
Sm1 0.5000 0.0000 0.5000  6 Tm 3.31-3.39, 2 Nd 3.39
Tm3 0.7469 0.2524 0.4998  1 Ho 3.27, 3 Sm 3.34-3.39, 2 Tm 3.38-3.39, 2 Nd 3.39
Tm4 0.7492 0.7493 0.9964  3 Sm 3.31-3.42, 1 Nd 3.31, 2 Ho 3.36, 2 Tm 3.39
Tm5 0.2493 0.2492 0.4964  3 Sm 3.31-3.42, 1 Nd 3.31, 2 Ho 3.36, 2 Tm 3.39
Ho1 0.5000 0.5000 0.5000  6 Tm 3.27-3.36, 2 Ho 3.39
Ho2 0.0000 0.0000 0.0000  6 Tm 3.27-3.36, 2 Ho 3.39
Sm2 0.5000 0.0000 0.0000  6 Tm 3.31-3.39, 2 Nd 3.39
Nd2 0.0000 0.5000 0.5000  6 Tm 3.31-3.39, 2 Sm 3.39
Sm3 0.5000 0.5000 0.0000  6 Tm 3.34-3.42, 2 Sm 3.39
Tm6 0.2476 0.7531 0.0002  1 Ho 3.27, 3 Sm 3.34-3.39, 2 Tm 3.38-3.39, 2 Nd 3.39
Sm4 0.0000 0.0000 0.5000  6 Tm 3.34-3.42, 2 Sm 3.39
Tm7 0.2508 0.2507 0.0036  3 Sm 3.31-3.42, 1 Nd 3.31, 2 Ho 3.36, 2 Tm 3.39
Tm8 0.7524 0.2469 0.9998  1 Ho 3.27, 3 Sm 3.34-3.39, 2 Tm 3.38-3.39, 2 Nd 3.39

A relaxed structure of Nd2Sm3Ho6Tm, computed with GGA-PBE.

Output
calculated formation energy: 15 meV/atom
Fermi-level density of states: 14.361 states/eV per cell

abc: 6.1900 6.1900 11.8043
angles: 95.00 95.00 119.98
Last column: nearest neighbours and their distance in Å.
Positions (direct):
Sm1 0.8333 0.1667 0.5000  6 Ho 3.56-3.57, 6 Sm 3.57
Ho1 0.9165 0.5840 0.7502  1 Tm 3.56, 2 Nd 3.56-3.57, 6 Ho 3.56-3.58, 3 Sm 3.56-3.57
Ho2 0.4160 0.0835 0.2498  1 Tm 3.56, 2 Nd 3.56-3.57, 6 Ho 3.56-3.58, 3 Sm 3.56-3.57
Sm2 0.1667 0.8333 0.5000  6 Ho 3.56-3.57, 6 Sm 3.57
Ho3 0.7512 0.7512 0.2502  1 Tm 3.56, 3 Sm 3.56-3.57, 6 Ho 3.57-3.58, 2 Nd 3.57
Tm1 0.0000 0.0000 0.0000  6 Ho 3.56, 6 Nd 3.57-3.58
Sm3 0.5000 0.5000 0.5000  6 Ho 3.56-3.57, 6 Sm 3.57
Ho4 0.2488 0.2488 0.7498  1 Tm 3.56, 3 Sm 3.56-3.57, 6 Ho 3.57-3.58, 2 Nd 3.57
Ho5 0.5840 0.9165 0.7502  1 Tm 3.56, 2 Nd 3.56-3.57, 6 Ho 3.56-3.58, 3 Sm 3.56-3.57
Ho6 0.0835 0.4160 0.2498  1 Tm 3.56, 2 Nd 3.56-3.57, 6 Ho 3.56-3.58, 3 Sm 3.56-3.57
Nd1 0.3335 0.6665 0.0000  6 Ho 3.56-3.57, 3 Nd 3.57-3.58, 3 Tm 3.57-3.58
Nd2 0.6665 0.3335 0.0000  6 Ho 3.56-3.57, 3 Nd 3.57-3.58, 3 Tm 3.57-3.58

A relaxed structure of NdSm2HoTm5, computed with GGA-PBE.

Output
calculated formation energy: 271 meV/atom
Fermi-level density of states: 19.857 states/eV per cell

abc: 8.7183 8.7183 9.7516
angles: 116.55 116.55 90.00
Last column: nearest neighbours and their distance in Å.
Positions (direct):
Sm1 0.6155 0.1155 0.0000  1 Sm 2.85, 2 Tm 2.99
Nd1 0.7500 0.7500 0.5000  10 Tm 3.57-3.78
Tm1 0.0000 0.0000 0.0000  4 Sm 3.50, 8 Tm 3.74, 2 Nd 3.78
Nd2 0.2500 0.2500 0.5000  10 Tm 3.57-3.78
Tm2 0.6549 0.1549 0.7277  1 Sm 2.99, 1 Ho 3.10
Tm3 0.1549 0.0728 0.7277  1 Sm 2.99, 1 Ho 3.10
Tm4 0.4272 0.3451 0.2723  1 Sm 2.99, 1 Ho 3.10
Tm5 0.8451 0.9272 0.2723  1 Sm 2.99, 1 Ho 3.10
Tm6 0.5000 0.5000 0.0000  4 Sm 3.50, 8 Tm 3.74, 2 Nd 3.78
Tm7 0.0728 0.5728 0.7277  1 Sm 2.99, 1 Ho 3.10
Tm8 0.3451 0.8451 0.2723  1 Sm 2.99, 1 Ho 3.10
Ho1 0.2500 0.7500 0.5000  4 Tm 3.10
Ho2 0.7500 0.2500 0.5000  4 Tm 3.10
Sm2 0.8845 0.6155 0.0000  1 Sm 2.85, 2 Tm 2.99
Tm9 0.9272 0.4272 0.2723  1 Sm 2.99, 1 Ho 3.10
Tm10 0.5728 0.6549 0.7277  1 Sm 2.99, 1 Ho 3.10
Sm3 0.3845 0.8845 0.0000  1 Sm 2.85, 2 Tm 2.99
Sm4 0.1155 0.3845 0.0000  1 Sm 2.85, 2 Tm 2.99

A relaxed structure of NdSmHoTm, computed with GGA-PBE.

Output
calculated formation energy: 112 meV/atom
Fermi-level density of states: 7.631 states/eV per cell

abc: 3.7681 5.8564 6.8945
angles: 115.13 73.86 90.00
Last column: nearest neighbours and their distance in Å.
Positions (direct):
Ho1 0.1845 0.8833 0.7666  2 Tm 3.35-3.41, 4 Nd 3.47-3.51, 2 Sm 3.49-3.55
Sm1 0.4157 0.1331 0.2663  4 Tm 3.47-3.50, 2 Ho 3.49-3.55, 2 Nd 3.64-3.76, 2 Sm 3.77
Tm1 0.9106 0.6471 0.2943  2 Ho 3.35-3.41, 2 Nd 3.45-3.51, 4 Sm 3.47-3.50
Nd1 0.6752 0.4011 0.8022  2 Tm 3.45-3.51, 4 Ho 3.47-3.51, 2 Sm 3.64-3.76, 2 Nd 3.77

A relaxed structure of Nd2SmHoTm5, computed with GGA-PBE.

Output
calculated formation energy: 268 meV/atom
Fermi-level density of states: 20.202 states/eV per cell

abc: 8.6463 8.6463 9.8288
angles: 116.09 116.09 90.00
Last column: nearest neighbours and their distance in Å.
Positions (direct):
Ho1 0.2500 0.7500 0.5000  4 Tm 3.10
Tm1 0.0000 0.0000 0.0000  4 Nd 3.46, 8 Tm 3.76, 2 Sm 3.85
Tm2 0.0725 0.5725 0.7223  1 Nd 3.00, 1 Ho 3.10
Ho2 0.7500 0.2500 0.5000  4 Tm 3.10
Tm3 0.5725 0.6497 0.7223  1 Nd 3.00, 1 Ho 3.10
Tm4 0.4275 0.3503 0.2777  1 Nd 3.00, 1 Ho 3.10
Nd1 0.1169 0.3831 0.0000  1 Nd 2.86, 2 Tm 3.00
Tm5 0.3503 0.8503 0.2777  1 Nd 3.00, 1 Ho 3.10
Tm6 0.1497 0.0725 0.7223  1 Nd 3.00, 1 Ho 3.10
Tm7 0.9275 0.4275 0.2777  1 Nd 3.00, 1 Ho 3.10
Tm8 0.5000 0.5000 0.0000  4 Nd 3.46, 8 Tm 3.76, 2 Sm 3.85
Tm9 0.8503 0.9275 0.2777  1 Nd 3.00, 1 Ho 3.10
Sm1 0.2500 0.2500 0.5000  10 Tm 3.53-3.85
Tm10 0.6497 0.1497 0.7223  1 Nd 3.00, 1 Ho 3.10
Nd2 0.3831 0.8831 0.0000  1 Nd 2.86, 2 Tm 3.00
Nd3 0.8831 0.6169 0.0000  1 Nd 2.86, 2 Tm 3.00
Sm2 0.7500 0.7500 0.5000  10 Tm 3.53-3.85
Nd4 0.6169 0.1169 0.0000  1 Nd 2.86, 2 Tm 3.00

A relaxed structure of Nd2SmHo6Tm3, computed with GGA-PBE.

Output
calculated formation energy: 22 meV/atom
Fermi-level density of states: 16.383 states/eV per cell

abc: 6.1504 6.1504 11.7450
angles: 95.00 95.00 119.95
Last column: nearest neighbours and their distance in Å.
Positions (direct):
Nd1 0.3333 0.6667 0.0000  3 Nd 3.55, 3 Sm 3.55, 6 Ho 3.59
Ho1 0.2473 0.2473 0.7451  3 Tm 3.50, 6 Ho 3.55, 1 Sm 3.59, 2 Nd 3.59
Nd2 0.6667 0.3333 0.0000  3 Nd 3.55, 3 Sm 3.55, 6 Ho 3.59
Tm1 0.1666 0.8334 0.5000  6 Ho 3.50, 6 Tm 3.55
Ho2 0.7527 0.7527 0.2549  3 Tm 3.50, 6 Ho 3.55, 1 Sm 3.59, 2 Nd 3.59
Ho3 0.9142 0.5811 0.7452  3 Tm 3.50, 6 Ho 3.55, 2 Nd 3.59, 1 Sm 3.59
Ho4 0.5811 0.9142 0.7452  3 Tm 3.50, 6 Ho 3.55, 2 Nd 3.59, 1 Sm 3.59
Sm1 0.0000 0.0000 0.0000  6 Nd 3.55, 6 Ho 3.59
Ho5 0.0858 0.4189 0.2548  3 Tm 3.50, 6 Ho 3.55, 2 Nd 3.59, 1 Sm 3.59
Ho6 0.4189 0.0858 0.2548  3 Tm 3.50, 6 Ho 3.55, 2 Nd 3.59, 1 Sm 3.59
Tm2 0.8334 0.1666 0.5000  6 Ho 3.50, 6 Tm 3.55
Tm3 0.5000 0.5000 0.5000  6 Ho 3.50, 6 Tm 3.55

A relaxed structure of Nd3SmHo2Tm6, computed with GGA-PBE.

Output
calculated formation energy: 21 meV/atom
Fermi-level density of states: 14.695 states/eV per cell

abc: 6.1651 6.1651 11.6957
angles: 95.03 95.03 119.98
Last column: nearest neighbours and their distance in Å.
Positions (direct):
Tm1 0.2511 0.2511 0.7530  1 Sm 3.51, 2 Ho 3.51, 6 Tm 3.56, 3 Nd 3.56-3.57
Sm1 0.0000 0.0000 0.0000  6 Tm 3.51, 6 Ho 3.56
Tm2 0.5838 0.9174 0.7529  2 Ho 3.51, 1 Sm 3.51, 6 Tm 3.56, 3 Nd 3.56-3.57
Nd1 0.8332 0.1668 0.5000  6 Nd 3.56, 6 Tm 3.56-3.57
Tm3 0.4162 0.0826 0.2471  2 Ho 3.51, 1 Sm 3.51, 6 Tm 3.56, 3 Nd 3.56-3.57
Nd2 0.5000 0.5000 0.5000  6 Nd 3.56, 6 Tm 3.56
Ho1 0.3332 0.6668 0.0000  6 Tm 3.51, 3 Sm 3.56, 3 Ho 3.56
Nd3 0.1668 0.8332 0.5000  6 Nd 3.56, 6 Tm 3.56-3.57
Tm4 0.0826 0.4162 0.2471  2 Ho 3.51, 1 Sm 3.51, 6 Tm 3.56, 3 Nd 3.56-3.57
Ho2 0.6668 0.3332 0.0000  6 Tm 3.51, 3 Sm 3.56, 3 Ho 3.56
Tm5 0.9174 0.5838 0.7529  2 Ho 3.51, 1 Sm 3.51, 6 Tm 3.56, 3 Nd 3.56-3.57
Tm6 0.7489 0.7489 0.2470  1 Sm 3.51, 2 Ho 3.51, 6 Tm 3.56, 3 Nd 3.56-3.57

A relaxed structure of Nd2SmHo6Tm, computed with GGA-PBE.

Output
calculated formation energy: 116 meV/atom
Fermi-level density of states: 26.915 states/eV per cell

abc: 9.6719 8.7556 8.7556
angles: 118.00 94.50 94.50
Last column: nearest neighbours and their distance in Å.
Positions (direct):
Nd1 0.0432 0.2978 0.1952  5 Ho 3.26-3.54, 2 Sm 3.36-3.37, 1 Tm 3.54
Ho1 0.3812 0.5065 0.2942  4 Ho 3.23-3.48, 3 Nd 3.26-3.45, 2 Tm 3.42-3.55
Tm1 0.2500 0.4073 0.5927  8 Ho 3.42-3.75, 2 Nd 3.54
Nd2 0.9568 0.7022 0.8048  5 Ho 3.26-3.54, 2 Sm 3.36-3.37, 1 Tm 3.54
Ho2 0.3132 0.9803 0.4271  2 Ho 3.23-3.56, 1 Nd 3.39, 1 Tm 3.44, 1 Sm 3.59
Tm2 0.7500 0.5927 0.4073  8 Ho 3.42-3.75, 2 Nd 3.54
Ho3 0.5574 0.7421 0.1241  8 Ho 3.40-3.76, 1 Nd 3.54, 1 Sm 3.65, 1 Tm 3.75
Nd3 0.4568 0.8048 0.7022  5 Ho 3.26-3.54, 2 Sm 3.36-3.37, 1 Tm 3.54
Ho4 0.1188 0.7058 0.4935  4 Ho 3.23-3.48, 3 Nd 3.26-3.45, 2 Tm 3.42-3.55
Ho5 0.4426 0.2579 0.8759  8 Ho 3.40-3.76, 1 Nd 3.54, 1 Sm 3.65, 1 Tm 3.75
Ho6 0.9426 0.8759 0.2579  8 Ho 3.40-3.76, 1 Nd 3.54, 1 Sm 3.65, 1 Tm 3.75
Ho7 0.8132 0.4271 0.9803  2 Ho 3.23-3.56, 1 Nd 3.39, 1 Tm 3.44, 1 Sm 3.59
Ho8 0.6868 0.0197 0.5729  2 Ho 3.23-3.56, 1 Nd 3.39, 1 Tm 3.44, 1 Sm 3.59
Nd4 0.5432 0.1952 0.2978  5 Ho 3.26-3.54, 2 Sm 3.36-3.37, 1 Tm 3.54
Ho9 0.6188 0.4935 0.7058  4 Ho 3.23-3.48, 3 Nd 3.26-3.45, 2 Tm 3.42-3.55
Sm1 0.2500 0.9818 0.0182  4 Nd 3.36-3.37, 4 Ho 3.59-3.65
Ho10 0.0574 0.1241 0.7421  8 Ho 3.40-3.76, 1 Nd 3.54, 1 Sm 3.65, 1 Tm 3.75
Ho11 0.8812 0.2942 0.5065  4 Ho 3.23-3.48, 3 Nd 3.26-3.45, 2 Tm 3.42-3.55
Ho12 0.1868 0.5729 0.0197  2 Ho 3.23-3.56, 1 Nd 3.39, 1 Tm 3.44, 1 Sm 3.59
Sm2 0.7500 0.0182 0.9818  4 Nd 3.36-3.37, 4 Ho 3.59-3.65